A plane-wave DFT calculation with PBE was carried out for crystalline RbMgIn at its relaxed geometry.

```
RbMgIn
1.0
4.854 -0.003 0.917
2.343 4.251 0.917
-0.062 -0.036 12.654
In Rb Mg
2 2 2
Direct
0.539 0.539 0.874
0.461 0.461 0.126
0.736 0.736 0.315
0.264 0.264 0.685
0.152 0.152 0.046
0.848 0.848 0.954
```

calculated volume = 261.5 Å³/cell
SG = No. 12
calculated formation energy = -39 meV/atom
polymorph energy (0 for the lowest one) = 0.00 eV/f.u.
uncorrected energy = -1.81 eV per atom